[1]
Here is a relaxed structure of La2Pr5Tm from Alexandria. Energies are from PBE.

## Properties
The density of states at the Fermi level is 11.966 states/eV/f.u. For the calculated formation energy, the calculation gives 0.013 eV/atom. The electronic total energy comes out at -4.765 eV/atom.

```
La2Pr5Tm
1.0
5.2222 0.0000 0.0000
0.0000 7.3676 0.0000
0.0000 0.0000 14.8103
Pr Tm La
10 2 4
Direct
0.5000 0.2495 0.3763 Pr
0.5000 0.7505 0.6237 Pr
0.0000 0.0017 0.2519 Pr
0.5000 0.2505 0.8763 Pr
0.0000 0.5017 0.2481 Pr
0.0000 0.9983 0.7481 Pr
0.5000 0.7495 0.1237 Pr
0.0000 0.5000 0.5000 Pr
0.0000 0.4983 0.7519 Pr
0.0000 0.0000 0.0000 Pr
0.0000 0.5000 0.0000 Tm
0.0000 0.0000 0.5000 Tm
0.5000 0.2477 0.6235 La
0.5000 0.7477 0.8765 La
0.5000 0.7523 0.3765 La
0.5000 0.2523 0.1235 La
```

[2]
Here is a relaxed structure of U2BeGaAu6 from Alexandria. Energies are from PBE.

## Properties
The density of states at the Fermi level is 9.449 states/eV/f.u. For the calculated formation energy, the calculation gives -0.136 eV/atom. The electronic total energy comes out at -5.035 eV/atom.

```
U2BeGaAu6
1.0
-6.5642 1.9394 -1.1590
-1.2324 -4.6617 -5.6465
-4.8031 -2.4831 0.6591
Au Be U Ga
6 1 2 1
Direct
0.9924 0.6811 0.2998 Au
0.0076 0.3189 0.7002 Au
0.9119 0.8269 0.7971 Au
0.5132 0.9200 0.7682 Au
0.0881 0.1731 0.2029 Au
0.4868 0.0800 0.2318 Au
0.0000 0.0000 0.0000 Be
0.6222 0.3657 0.4482 U
0.3778 0.6343 0.5518 U
0.5000 0.5000 0.0000 Ga
```

[3]
Here is a relaxed structure of TiVIr from Alexandria. Energies are from PBE.

## Properties
The density of states at the Fermi level is 3.872 states/eV/f.u. For the calculated formation energy, the calculation gives -0.354 eV/atom. The electronic total energy comes out at -8.979 eV/atom.

```
TiVIr
1.0
5.3979 0.0000 0.0000
-2.6989 4.3814 0.0000
0.0000 0.0000 7.4610
Ir V Ti
4 4 4
Direct
0.3819 0.2638 0.2500 Ir
0.1181 0.7362 0.7500 Ir
0.8819 0.2638 0.2500 Ir
0.6181 0.7362 0.7500 Ir
0.5907 0.1814 0.6118 V
0.4093 0.8186 0.3882 V
0.0907 0.1814 0.8882 V
0.9093 0.8186 0.1118 V
0.6513 0.3026 0.9388 Ti
0.1513 0.3026 0.5612 Ti
0.3487 0.6974 0.0612 Ti
0.8487 0.6974 0.4388 Ti
```

[4]
Here is a relaxed structure of Li2MnSe from Alexandria. Energies are from PBE.

## Properties
The density of states at the Fermi level is 1.887 states/eV/f.u. The electronic total energy comes out at -4.467 eV/atom.

```
Li2MnSe
1.0
-2.2915 -0.5786 3.1328
0.9500 -3.8038 -0.0077
3.0914 0.7672 2.4029
Li Se Mn
2 1 1
Direct
0.0000 0.0000 0.0000 Li
0.5000 0.5000 0.0000 Li
0.0000 0.5000 0.5000 Se
0.5000 0.0000 0.5000 Mn
```